Crystalline GeBCl2 at its relaxed geometry, computed with PBE.

Cell lengths 3.1529, 3.1529, 30.7461 Å; angles 90.00, 90.00, 120.00 degrees
Closest atoms and distances in Å follow each position.
Space group R-3m (No. 166, hexagonal axes)
Symmetry-distinct sites (fractional):
Ge 0.0000 0.0000 0.0000 [3 per cell]  6 Ge 3.15
B 0.0000 0.0000 0.5000 [3 per cell]  2 Cl 1.67
Cl 0.0000 0.0000 0.4457 [6 per cell]  1 B 1.67

Values from the calculation:
E = -3.3453 eV/atom
Theoretical density = 2.9 g/cm3
E_form (uncorrected) = 401.7 meV per atom
Energy relative to the lowest polymorph listed for this composition = 0.0 meV per atom

---

Crystalline LiTl2Os at its relaxed geometry, computed with PBE.

Cell lengths 3.3932, 4.4362, 5.4147 Å; angles 90.00, 106.99, 90.00 degrees
Closest atoms and distances in Å follow each position.
Space group Pm (No. 6)
Symmetry-distinct sites (fractional):
Li 0.0000 0.0000 0.0000 [1 per cell]  7 Tl 2.78-2.95, 2 Os 2.83
Tl 0.4449 0.5000 0.8867 [1 per cell]  3 Os 2.84-2.90, 4 Li 2.85-2.86
Tl 0.6928 0.0000 0.4301 [1 per cell]  3 Li 2.78-2.95, 4 Os 2.83
Os 0.1509 0.5000 0.3386 [1 per cell]  2 Li 2.83, 7 Tl 2.83-2.90

Values from the calculation:
E = -3.9707 eV/atom
Theoretical density = 12.9 g/cm3
Energy relative to the lowest polymorph listed for this composition = 54.3 meV per atom

---

Crystalline Ca6Ga5Ag at its relaxed geometry, computed with PBE.

Cell lengths 5.1730, 15.5774, 7.4214 Å; angles 90.00, 90.00, 90.00 degrees
Closest atoms and distances in Å follow each position.
Space group Cmmm (No. 65)
Symmetry-distinct sites (fractional):
Ca 0.0000 0.0000 0.2480 [4 per cell]  6 Ga 3.17-3.25, 2 Ag 3.19
Ca 0.0000 0.3338 0.2474 [8 per cell]  7 Ga 3.16-3.20, 1 Ag 3.20
Ga 0.0000 0.1673 0.0000 [4 per cell]  8 Ca 3.17-3.19
Ga 0.0000 0.1709 0.5000 [4 per cell]  8 Ca 3.16-3.25
Ga 0.0000 0.5000 0.0000 [2 per cell]  8 Ca 3.17
Ag 0.0000 0.5000 0.5000 [2 per cell]  8 Ca 3.19-3.20

Values from the calculation:
E = -2.9171 eV/atom
Theoretical density = 3.9 g/cm3

---

Crystalline AcLuZnBi at its relaxed geometry, computed with PBE.

Cell lengths 7.7940, 7.7940, 7.7940 Å; angles 90.00, 90.00, 90.00 degrees
Closest atoms and distances in Å follow each position.
Space group F-43m (No. 216)
Symmetry-distinct sites (fractional):
Ac 0.0000 0.0000 0.0000 [4 per cell]  4 Zn 3.37, 4 Bi 3.37
Lu 0.0000 0.0000 0.5000 [4 per cell]  4 Bi 3.37, 4 Zn 3.37
Zn 0.2500 0.2500 0.7500 [4 per cell]  4 Lu 3.37, 4 Ac 3.37
Bi 0.2500 0.2500 0.2500 [4 per cell]  4 Ac 3.37, 4 Lu 3.37

Values from the calculation:
E = -3.7798 eV/atom
Theoretical density = 9.5 g/cm3

---

Question: Which of these has the highest theoretical density?
Answer: LiTl2Os

---

Question: What is the formula in the second record?
Answer: LiTl2Os

---

Question: The lowest E belongs to which entry?
Answer: LiTl2Os